{
  "formula": "LiURe",
  "functional": "GGA-PBE",
  "state": "optimized geometry",
  "spacegroup": "C2/m (12)",
  "e_form_ev_per_atom": 0.433,
  "vol_a3_per_cell": 227.34,
  "n_ef_per_ev_cell": 16.9,
  "lattice_angstrom": [[9.832, 0.000, 0.000], [0.000, 2.902, 0.000], [-2.001, 0.000, 7.967]],
  "species": ["Li", "Li", "Li", "Li", "U", "U", "U", "U", "Re", "Re", "Re", "Re"],
  "frac_coords": [[0.137, 0.000, 0.484], [0.363, 0.500, 0.516], [0.637, 0.500, 0.484], [0.863, 0.000, 0.516], [0.099, 0.500, 0.844], [0.401, 0.000, 0.156], [0.599, 0.000, 0.844], [0.901, 0.500, 0.156], [0.170, 0.500, 0.197], [0.330, 0.000, 0.803], [0.670, 0.000, 0.197], [0.830, 0.500, 0.803]]
}